Record 1
The following is a DFT calculation (meta-GGA SCAN) of a PBEsol-optimized structure of LiTcTe2.

- N(E_F): 0.60 states/eV per atom
- Calculated total energy: -112.81 eV/f.u.
- Formation energy without anion corrections: -214 meV per atom

Cell and atoms, written as CIF:
```
data_LiTcTe2
_chemical_formula_sum 'Li2 Tc2 Te4'
_symmetry_space_group_name_H-M 'C 1 m 1'
_symmetry_Int_Tables_number 8
_symmetry_space_group_name_Hall 'C -2y'
_cell_length_a 8.524
_cell_length_b 3.369
_cell_length_c 6.484
_cell_angle_alpha 90.00
_cell_angle_beta 105.47
_cell_angle_gamma 90.00
loop_
_atom_site_label
_atom_site_type_symbol
_atom_site_fract_x
_atom_site_fract_y
_atom_site_fract_z
Li1 Li 0.000 0.000 0.000
Tc1 Tc 0.080 0.000 0.463
Te1 Te 0.174 0.500 0.785
Te2 Te 0.340 0.000 0.333
```

Record 2
The following is a DFT calculation (meta-GGA SCAN) of a PBEsol-optimized structure of Li2TcTe.

- N(E_F): 0.32 states/eV per atom
- Calculated total energy: -77.58 eV/f.u.
- Formation energy without anion corrections: -123 meV per atom

Cell and atoms, written as CIF:
```
data_Li2TcTe
_chemical_formula_sum 'Li4 Tc2 Te2'
_symmetry_space_group_name_H-M 'I -4 m 2'
_symmetry_Int_Tables_number 119
_symmetry_space_group_name_Hall 'I -4 -2'
_cell_length_a 3.863
_cell_length_b 3.863
_cell_length_c 7.851
_cell_angle_alpha 90.00
_cell_angle_beta 90.00
_cell_angle_gamma 90.00
loop_
_atom_site_label
_atom_site_type_symbol
_atom_site_fract_x
_atom_site_fract_y
_atom_site_fract_z
Li1 Li 0.000 0.000 0.000
Li2 Li 0.000 0.500 0.250
Tc1 Tc 0.000 0.000 0.500
Te1 Te 0.000 0.500 0.750
```

Which value of N(E_F) does entry 2 give?
0.32 states/eV per atom

Which value of calculated total energy does entry 1 give?
-112.81 eV/f.u.

What did the second record say?
The following is a DFT calculation (meta-GGA SCAN) of a PBEsol-optimized structure of Li2TcTe.

- N(E_F): 0.32 states/eV per atom
- Calculated total energy: -77.58 eV/f.u.
- Formation energy without anion corrections: -123 meV per atom

Cell and atoms, written as CIF:
```
data_Li2TcTe
_chemical_formula_sum 'Li4 Tc2 Te2'
_symmetry_space_group_name_H-M 'I -4 m 2'
_symmetry_Int_Tables_number 119
_symmetry_space_group_name_Hall 'I -4 -2'
_cell_length_a 3.863
_cell_length_b 3.863
_cell_length_c 7.851
_cell_angle_alpha 90.00
_cell_angle_beta 90.00
_cell_angle_gamma 90.00
loop_
_atom_site_label
_atom_site_type_symbol
_atom_site_fract_x
_atom_site_fract_y
_atom_site_fract_z
Li1 Li 0.000 0.000 0.000
Li2 Li 0.000 0.500 0.250
Tc1 Tc 0.000 0.000 0.500
Te1 Te 0.000 0.500 0.750
```

Number 2 is which compound?
Li2TcTe